(1)
Below is a geometry-optimized ZnCr2Cl structure, with properties calculated at the GGA-PBE level.

Unit cell a=4.2780 b=4.2780 c=7.8095 alpha=90.00 beta=90.00 gamma=90.00
Closest atoms and distances in Å follow each position.
Space group I4/mmm (No. 139)
Inequivalent atoms, fractional coordinates:
1 Zn 0.0000 0.0000 0.0000  8 Cr 2.90, 4 Cl 3.03
2 Cr 0.0000 0.5000 0.2500  4 Cl 2.90, 4 Zn 2.90, 4 Cr 3.03
3 Cl 0.0000 0.0000 0.5000  8 Cr 2.90, 4 Zn 3.03

Calculated values
For the relative energy among the computed polymorphs, the calculation gives 0.495 eV per atom. As for the formation energy (no corrections): 58.6 kJ per mole of atoms. As for the density of states at the Fermi level: 2.487 states/eV/cell.


(2)
Below is a geometry-optimized BeSbAs2 structure, with properties calculated at the GGA-PBE level.

Unit cell a=5.7474 b=5.7474 c=11.4057 alpha=90.00 beta=90.00 gamma=90.00
Closest atoms and distances in Å follow each position.
Space group I-42d (No. 122)
Inequivalent atoms, fractional coordinates:
1 Be 0.0000 0.0000 0.0000  4 As 2.26
2 Sb 0.0000 0.0000 0.5000  4 As 2.76
3 As 0.1731 0.2500 0.1250  2 Be 2.26

Calculated values
For the relative energy among the computed polymorphs, the calculation gives 0.011 eV per atom. As for the formation energy (no corrections): 3.8 kJ per mole of atoms. As for the density of states at the Fermi level: 8.265 states/eV/cell.


(3)
Below is a geometry-optimized KLi3Tl9 structure, with properties calculated at the GGA-PBE level.

Unit cell a=6.1621 b=15.7884 c=7.9469 alpha=90.00 beta=110.85 gamma=90.00
Closest atoms and distances in Å follow each position.
Space group C2/m (No. 12)
Inequivalent atoms, fractional coordinates:
1 K 0.0000 0.0000 0.0000  14 Tl 3.78-3.97, 2 Li 4.07
2 Li 0.0000 0.5000 0.5000  6 Tl 3.07-3.08
3 Li 0.2500 0.2500 0.0000  8 Tl 3.08-3.17, 2 Li 3.08
4 Tl 0.0000 0.0000 0.5000  2 Li 3.08, 8 Tl 3.25-3.40
5 Tl 0.0903 0.3870 0.2180  3 Li 3.07-3.14, 4 Tl 3.24-3.40
6 Tl 0.1620 0.1791 0.3384  3 Li 3.13-3.48, 6 Tl 3.28-3.47

Calculated values
As for the energy of formation: -0.107 eV/atom. As for the density of states at the Fermi level: 10.753 states/eV/cell.


(4)
Below is a geometry-optimized NaSbPdRh structure, with properties calculated at the GGA-PBE level.

Unit cell a=6.4777 b=6.4777 c=6.4777 alpha=90.00 beta=90.00 gamma=90.00
Closest atoms and distances in Å follow each position.
Space group F-43m (No. 216)
Inequivalent atoms, fractional coordinates:
1 Na 0.0000 0.0000 0.0000  4 Rh 2.80, 4 Pd 2.80
2 Sb 0.0000 0.0000 0.5000  4 Pd 2.80, 4 Rh 2.80
3 Pd 0.2500 0.2500 0.2500  4 Na 2.80, 4 Sb 2.80
4 Rh 0.2500 0.2500 0.7500  4 Na 2.80, 4 Sb 2.80

Calculated values
As for the formation energy (no corrections): -26.4 kJ per mole of atoms. As for the density of states at the Fermi level: 15.608 states/eV/cell.


(5)
Below is a geometry-optimized KLiSi structure, with properties calculated at the GGA-PBE level.

Unit cell a=2.9196 b=4.3482 c=11.5463 alpha=90.00 beta=90.00 gamma=90.00
Closest atoms and distances in Å follow each position.
Space group Amm2 (No. 38)
Inequivalent atoms, fractional coordinates:
1 K 0.0000 0.0000 0.0000  2 K 2.92, 1 Li 3.01
2 Li 0.0000 0.0000 0.2610  4 Si 2.67, 2 Li 2.92
3 Si 0.5000 0.0000 0.7179  4 Li 2.67, 2 Si 2.92

Calculated values
For the relative energy among the computed polymorphs, the calculation gives 0.246 eV per atom. As for the formation energy (no corrections): 14.7 kJ per mole of atoms. As for the density of states at the Fermi level: 2.443 states/eV/cell.


(6)
Below is a geometry-optimized Rb2NbCr2S6 structure, with properties calculated at the GGA-PBE level.

Unit cell a=6.1065 b=10.6186 c=8.0811 alpha=90.00 beta=104.00 gamma=90.00
Closest atoms and distances in Å follow each position.
Space group C2/m (No. 12)
Inequivalent atoms, fractional coordinates:
1 Rb 0.0000 0.1641 0.0000  6 S 3.26-3.29, 3 Rb 3.49-3.56
2 Nb 0.0000 0.0000 0.5000  6 S 2.51-2.53
3 Cr 0.0000 0.3334 0.5000  6 S 2.42-2.44
4 S 0.2091 0.5000 0.6754  2 Cr 2.43, 1 Nb 2.53
5 S 0.2286 0.1711 0.6742  2 Cr 2.42-2.44, 1 Nb 2.51

Calculated values
As for the formation energy (no corrections): -89.7 kJ per mole of atoms. As for the density of states at the Fermi level: 9.095 states/eV/cell.


(7)
Below is a geometry-optimized PmCu4Pd8 structure, with properties calculated at the GGA-PBE level.

Unit cell a=8.9742 b=8.9742 c=5.0210 alpha=90.00 beta=90.00 gamma=90.00
Closest atoms and distances in Å follow each position.
Space group I4/mmm (No. 139)
Inequivalent atoms, fractional coordinates:
1 Pm 0.0000 0.0000 0.0000  12 Pd 3.12-3.19, 8 Cu 3.41
2 Cu 0.2500 0.2500 0.2500  2 Cu 2.51, 8 Pd 2.59-2.72
3 Pd 0.0000 0.2185 0.5000  4 Cu 2.59, 6 Pd 2.77-2.87
4 Pd 0.0000 0.3482 0.0000  4 Cu 2.72, 5 Pd 2.72-2.87

Calculated values
As for the energy of formation: -0.319 eV/atom. As for the density of states at the Fermi level: 22.787 states/eV/cell.


(8)
Below is a geometry-optimized Y4BeS3 structure, with properties calculated at the GGA-PBE level.

Unit cell a=5.5655 b=5.5655 c=11.1225 alpha=90.00 beta=90.00 gamma=90.00
Closest atoms and distances in Å follow each position.
Space group I4/mmm (No. 139)
Inequivalent atoms, fractional coordinates:
1 Y 0.0000 0.0000 0.2495  1 Be 2.78, 5 S 2.78-2.79
2 Y 0.0000 0.5000 0.0000  4 S 2.78, 2 Be 2.78
3 Be 0.0000 0.0000 0.0000  6 Y 2.78
4 S 0.0000 0.0000 0.5000  6 Y 2.78-2.79
5 S 0.0000 0.5000 0.2500  6 Y 2.78

Calculated values
As for the formation energy (no corrections): -145.7 kJ per mole of atoms. As for the density of states at the Fermi level: 5.587 states/eV/cell.


(9)
Below is a geometry-optimized Sr4Pm3Se8 structure, with properties calculated at the GGA-PBE level.

Unit cell a=8.5322 b=8.5322 c=23.6595 alpha=90.00 beta=90.00 gamma=120.00
Closest atoms and distances in Å follow each position.
Space group R-3m (No. 166, hexagonal axes)
Inequivalent atoms, fractional coordinates:
1 Sr 0.0000 0.0000 0.0000  6 Se 3.12
2 Sr 0.0000 0.0000 0.1483  4 Se 2.88-3.05
3 Sr 0.0000 0.0000 0.5000  6 Se 3.20
4 Pm 0.0000 0.5000 0.0000  6 Se 2.89-3.03
5 Se 0.0000 0.0000 0.2698  1 Sr 2.88, 3 Pm 2.89
6 Se 0.0102 0.5051 0.2567  2 Pm 3.03, 3 Sr 3.05-3.20

Calculated values
As for the formation energy (no corrections): -176.5 kJ per mole of atoms. As for the density of states at the Fermi level: 13.379 states/eV/cell.


(10)
Below is a geometry-optimized Th8Ge3Te4P structure, with properties calculated at the GGA-PBE level.

Unit cell a=8.6491 b=8.6491 c=22.0230 alpha=90.00 beta=90.00 gamma=120.00
Closest atoms and distances in Å follow each position.
Space group R-3m (No. 166, hexagonal axes)
Inequivalent atoms, fractional coordinates:
1 Th 0.0000 0.0000 0.2389  3 Ge 2.96, 3 Te 3.25
2 Th 0.0110 0.5055 0.2373  1 P 2.87, 2 Ge 2.98
3 Ge 0.0000 0.5000 0.5000  6 Th 2.96-2.98
4 Te 0.0000 0.0000 0.0000  6 Th 3.34
5 Te 0.0000 0.5000 0.0000  6 Th 3.24-3.25
6 P 0.0000 0.0000 0.5000  6 Th 2.87

Calculated values
As for the formation energy (no corrections): -106.0 kJ per mole of atoms. As for the density of states at the Fermi level: 26.555 states/eV/cell.


(11)
Below is a geometry-optimized KNbP2O structure, with properties calculated at the GGA-PBE level.

Unit cell a=4.9947 b=4.9947 c=4.8735 alpha=90.00 beta=90.00 gamma=90.00
Closest atoms and distances in Å follow each position.
Space group P4/mmm (No. 123)
Inequivalent atoms, fractional coordinates:
1 K 0.0000 0.0000 0.0000  2 Nb 2.44, 4 P 2.50
2 Nb 0.0000 0.0000 0.5000  2 K 2.44
3 P 0.0000 0.5000 0.0000  2 K 2.50
4 O 0.5000 0.5000 0.5000  8 P 3.49, 4 Nb 3.53

Calculated values
For the relative energy among the computed polymorphs, the calculation gives 3.385 eV per atom. As for the formation energy (no corrections): 269.2 kJ per mole of atoms. As for the density of states at the Fermi level: 8.401 states/eV/cell.


(12)
Below is a geometry-optimized Rb3Tm2BiSe6 structure, with properties calculated at the GGA-PBE level.

Unit cell a=7.3679 b=12.7607 c=8.3506 alpha=90.00 beta=107.11 gamma=90.00
Closest atoms and distances in Å follow each position.
Space group C2/m (No. 12)
Inequivalent atoms, fractional coordinates:
1 Rb 0.0000 0.0000 0.0000  6 Se 3.40-3.48
2 Rb 0.0000 0.3364 0.0000  6 Se 3.42-3.48
3 Tm 0.0000 0.1670 0.5000  6 Se 2.88
4 Bi 0.0000 0.5000 0.5000  6 Se 2.98
5 Se 0.2207 0.0000 0.6950  2 Tm 2.88, 1 Bi 2.98
6 Se 0.2375 0.3279 0.6959  2 Tm 2.88, 1 Bi 2.98

Calculated values
As for the formation energy (no corrections): -136.3 kJ per mole of atoms. As for the density of states at the Fermi level: 0.000 states/eV/cell.


(13)
Below is a geometry-optimized ReSi2Ni structure, with properties calculated at the GGA-PBE level.

Unit cell a=3.0159 b=3.0159 c=5.4879 alpha=90.00 beta=90.00 gamma=90.00
Closest atoms and distances in Å follow each position.
Space group P4/mmm (No. 123)
Inequivalent atoms, fractional coordinates:
1 Re 0.0000 0.0000 0.0000  8 Si 2.56, 2 Ni 2.74
2 Si 0.5000 0.5000 0.2590  4 Ni 2.51, 4 Re 2.56, 1 Si 2.64
3 Ni 0.0000 0.0000 0.5000  8 Si 2.51, 2 Re 2.74

Calculated values
As for the formation energy (no corrections): -24.6 kJ per mole of atoms. As for the density of states at the Fermi level: 2.612 states/eV/cell.


(14)
Below is a geometry-optimized ReTeOs3 structure, with properties calculated at the GGA-PBE level.

Unit cell a=4.7382 b=4.7382 c=4.7382 alpha=90.00 beta=90.00 gamma=90.00
Closest atoms and distances in Å follow each position.
Space group Pm-3m (No. 221)
Inequivalent atoms, fractional coordinates:
1 Re 0.0000 0.0000 0.0000  12 Os 3.35
2 Te 0.5000 0.5000 0.5000  6 Os 2.37
3 Os 0.0000 0.5000 0.5000  2 Te 2.37

Calculated values
For the relative energy among the computed polymorphs, the calculation gives 0.819 eV per atom. As for the formation energy (no corrections): 288.4 kJ per mole of atoms. As for the density of states at the Fermi level: 11.057 states/eV/cell.


(15)
Below is a geometry-optimized Re2SbPb structure, with properties calculated at the GGA-PBE level.

Unit cell a=3.0680 b=3.0680 c=9.1214 alpha=90.00 beta=90.00 gamma=90.00
Closest atoms and distances in Å follow each position.
Space group P4mm (No. 99)
Inequivalent atoms, fractional coordinates:
1 Re 0.0000 0.0000 0.0000  4 Re 2.63
2 Re 0.5000 0.5000 0.1639  4 Re 2.63, 4 Sb 2.93
3 Sb 0.0000 0.0000 0.3795  4 Re 2.93, 4 Sb 3.07
4 Pb 0.5000 0.5000 0.7511  4 Pb 3.07, 4 Re 3.14

Calculated values
For the relative energy among the computed polymorphs, the calculation gives 0.000 eV per atom. As for the formation energy (no corrections): 31.6 kJ per mole of atoms. As for the density of states at the Fermi level: 2.937 states/eV/cell.


(16)
Below is a geometry-optimized BeRe2Hg structure, with properties calculated at the GGA-PBE level.

Unit cell a=6.1904 b=6.1904 c=6.1904 alpha=90.00 beta=90.00 gamma=90.00
Closest atoms and distances in Å follow each position.
Space group Fm-3m (No. 225)
Inequivalent atoms, fractional coordinates:
1 Be 0.0000 0.0000 0.0000  8 Re 2.68
2 Re 0.2500 0.2500 0.2500  4 Hg 2.68, 4 Be 2.68
3 Hg 0.0000 0.0000 0.5000  8 Re 2.68

Calculated values
For the relative energy among the computed polymorphs, the calculation gives 0.751 eV per atom. As for the energy of formation: 0.999 eV/atom. As for the density of states at the Fermi level: 13.663 states/eV/cell.


(17)
Below is a geometry-optimized La3AuCl3 structure, with properties calculated at the GGA-PBE level.

Unit cell a=6.0339 b=6.0339 c=6.0339 alpha=90.00 beta=90.00 gamma=90.00
Closest atoms and distances in Å follow each position.
Space group Pm-3m (No. 221)
Inequivalent atoms, fractional coordinates:
1 La 0.0000 0.0000 0.5000  4 Cl 3.02, 2 Au 3.02
2 Au 0.0000 0.0000 0.0000  6 La 3.02
3 Cl 0.0000 0.5000 0.5000  4 La 3.02

Calculated values
As for the formation energy (no corrections): -153.9 kJ per mole of atoms. As for the density of states at the Fermi level: 6.862 states/eV/cell.


(18)
Below is a geometry-optimized BaCaMg2Ge2 structure, with properties calculated at the GGA-PBE level.

Unit cell a=4.7658 b=4.7658 c=8.1753 alpha=90.00 beta=90.00 gamma=120.00
Closest atoms and distances in Å follow each position.
Space group P-3m1 (No. 164)
Inequivalent atoms, fractional coordinates:
1 Ba 0.0000 0.0000 0.0000  6 Ge 3.60, 6 Mg 3.79
2 Ca 0.0000 0.0000 0.5000  6 Mg 3.13, 6 Ge 3.27
3 Mg 0.3333 0.6667 0.6819  3 Ge 2.76
4 Ge 0.3333 0.6667 0.2848  3 Mg 2.76

Calculated values
As for the energy of formation: -0.498 eV/atom. As for the density of states at the Fermi level: 0.600 states/eV/cell.


(19)
Below is a geometry-optimized Na3TlPb structure, with properties calculated at the GGA-PBE level.

Unit cell a=5.9235 b=5.9235 c=5.9235 alpha=90.00 beta=90.00 gamma=90.00
Closest atoms and distances in Å follow each position.
Space group Pm-3m (No. 221)
Inequivalent atoms, fractional coordinates:
1 Na 0.0000 0.0000 0.5000  2 Pb 2.96
2 Tl 0.5000 0.5000 0.5000  12 Na 4.19
3 Pb 0.0000 0.0000 0.0000  6 Na 2.96

Calculated values
For the relative energy among the computed polymorphs, the calculation gives 0.271 eV per atom. As for the energy of formation: 0.144 eV/atom. As for the density of states at the Fermi level: 2.521 states/eV/cell.